Compound: Li7Hg5
Source: the Alexandria database
Functional: PBE
Structure: relaxed

Structure (CIF):
```
data_Li7Hg5
_space_group_name_H-M_alt 'C 1 2/m 1'
_space_group_IT_number 12
_space_group_name_Hall '-C 2y'
_cell_length_a 12.962
_cell_length_b 4.029
_cell_length_c 9.488
_cell_angle_alpha 90.00
_cell_angle_beta 115.97
_cell_angle_gamma 90.00
loop_
_atom_site_label
_atom_site_fract_x
_atom_site_fract_y
_atom_site_fract_z
Li1 0.000 0.000 0.000
Li2 0.080 0.500 0.248
Li3 0.101 0.000 0.755
Li4 0.160 0.000 0.501
Hg1 0.000 0.500 0.500
Hg2 0.148 0.500 0.984
Hg3 0.237 0.000 0.269
```

Summary:
Crystal system   monoclinic
E_form   -3.71 eV per formula unit

=====

Compound: Dy3ErTm2P6
Source: the Alexandria database
Functional: PBE
Structure: relaxed

Structure (CIF):
```
data_Dy3ErTm2P6
_space_group_name_H-M_alt 'C 1 2/m 1'
_space_group_IT_number 12
_space_group_name_Hall '-C 2y'
_cell_length_a 6.896
_cell_length_b 11.942
_cell_length_c 6.894
_cell_angle_alpha 90.00
_cell_angle_beta 109.45
_cell_angle_gamma 90.00
loop_
_atom_site_label
_atom_site_fract_x
_atom_site_fract_y
_atom_site_fract_z
Dy1 0.000 0.000 0.000
Dy2 0.000 0.333 0.000
Er1 0.000 0.500 0.500
Tm1 0.000 0.167 0.500
P1 0.248 0.000 0.747
P2 0.249 0.333 0.747
```

Summary:
Crystal system   monoclinic
E_form   -19.33 eV per formula unit

=====

Compound: ZrMnReHg2
Source: the Alexandria database
Functional: PBE
Structure: relaxed

Structure (CIF):
```
data_ZrMnReHg2
_space_group_name_H-M_alt 'P 4/m m m'
_space_group_IT_number 123
_space_group_name_Hall '-P 4 2'
_cell_length_a 5.176
_cell_length_b 5.176
_cell_length_c 4.443
_cell_angle_alpha 90.00
_cell_angle_beta 90.00
_cell_angle_gamma 90.00
loop_
_atom_site_label
_atom_site_fract_x
_atom_site_fract_y
_atom_site_fract_z
Zr1 0.000 0.000 0.000
Mn1 0.500 0.500 0.000
Re1 0.500 0.500 0.500
Hg1 0.000 0.500 0.500
```

Summary:
Crystal system   tetragonal
E_form   5.61 eV per formula unit

=====

Compound: Pm4NiS2Cl
Source: the Alexandria database
Functional: PBE
Structure: relaxed

Structure (CIF):
```
data_Pm4NiS2Cl
_space_group_name_H-M_alt 'P 1 2/m 1'
_space_group_IT_number 10
_space_group_name_Hall '-P 2y'
_cell_length_a 7.118
_cell_length_b 3.928
_cell_length_c 7.120
_cell_angle_alpha 90.00
_cell_angle_beta 108.58
_cell_angle_gamma 90.00
loop_
_atom_site_label
_atom_site_fract_x
_atom_site_fract_y
_atom_site_fract_z
Pm1 0.236 0.000 0.235
Pm2 0.258 0.500 0.766
Ni1 0.500 0.000 0.000
S1 0.000 0.000 0.500
S2 0.000 0.500 0.000
Cl1 0.500 0.500 0.500
```

Summary:
Crystal system   monoclinic
Formation energy (no corrections)   -1.444 eV/atom

=====

Compound: ScMnAg2
Source: the Alexandria database
Functional: PBE
Structure: relaxed

Structure (CIF):
```
data_ScMnAg2
_space_group_name_H-M_alt 'R -3 m'
_space_group_IT_number 166
_space_group_name_Hall '-R 3 2"'
_cell_length_a 3.0379
_cell_length_b 3.0379
_cell_length_c 27.9574
_cell_angle_alpha 90.00
_cell_angle_beta 90.00
_cell_angle_gamma 120.00
loop_
_atom_site_label
_atom_site_fract_x
_atom_site_fract_y
_atom_site_fract_z
Sc1 0.0000 0.0000 0.0000
Mn1 0.0000 0.0000 0.5000
Ag1 0.0000 0.0000 0.2458
```

Summary:
Crystal system   trigonal
E_form   0.80 eV per formula unit
ΔE to the lowest computed polymorph   201 meV per atom

=====

Compound: SrLa2Sc
Source: the Alexandria database
Functional: PBE
Structure: relaxed

Structure (CIF):
```
data_SrLa2Sc
_space_group_name_H-M_alt 'C 1 2/m 1'
_space_group_IT_number 12
_space_group_name_Hall '-C 2y'
_cell_length_a 12.112
_cell_length_b 3.683
_cell_length_c 6.564
_cell_angle_alpha 90.00
_cell_angle_beta 99.53
_cell_angle_gamma 90.00
loop_
_atom_site_label
_atom_site_fract_x
_atom_site_fract_y
_atom_site_fract_z
Sr1 0.000 0.000 0.000
La1 0.238 0.000 0.720
Sc1 0.000 0.500 0.500
```

Summary:
Crystal system   monoclinic
E_form   0.64 eV per formula unit
ΔE to the lowest computed polymorph   61 meV per atom

=====

For each record above, in turn, the calculated magnetization values are 0.00 0.00 2.26 0.00 4.23 0.00 μB/f.u..